Compound: Sc2Ga2Tc
Source: Alexandria
Functional: SCAN
Structure: single point on PBEsol structure

abc: 3.700 6.815 6.815
angles: 90.00 90.00 90.00
Fractional coordinates of all 10 atoms:
Sc (0.500, 0.178, 0.678)
Sc (0.500, 0.678, 0.822)
Sc (0.500, 0.822, 0.322)
Sc (0.500, 0.322, 0.178)
Tc (0.000, 0.000, 0.000)
Tc (0.000, 0.500, 0.500)
Ga (0.000, 0.370, 0.870)
Ga (0.000, 0.870, 0.630)
Ga (0.000, 0.630, 0.130)
Ga (0.000, 0.130, 0.370)

Values from the calculation:
formation energy from the elements: -12.01 kcal/mol of atoms
DOS at the Fermi energy: 0.97 states/eV per atom
ρ: 6.33 g cm⁻³